No. 1
A relaxed structure of KTlHgBr4, computed with PBE.

DFT total energy: -2.43 eV/atom
Calculated volume: 524.56 Å³ per cell
Mass density: 4.8 g/cm3
Formation energy (no corrections): -937 meV/atom
SG: P2_1/m (11)
Total moment: 0.0 μB per cell

Lattice parameters (Å, degrees): 7.809 7.743 9.098 90.00 107.54 90.00
Atoms (fractional coordinates):
K  0.221  0.250  0.560
Tl  0.237  0.250  0.058
Hg  0.751  0.250  0.693
K  0.779  0.750  0.440
Br  0.561  0.250  0.888
Br  0.001  0.007  0.246
Tl  0.763  0.750  0.942
Br  0.442  0.750  0.601
Br  0.999  0.507  0.754
Br  0.439  0.750  0.112
Br  0.001  0.493  0.246
Br  0.999  0.993  0.754
Hg  0.249  0.750  0.307
Br  0.558  0.250  0.399

***

No. 2
A relaxed structure of Ca3YPt, computed with PBE.

DFT total energy: -2.48 eV/atom
Formation enthalpy at 0 K: 1224 meV/atom
Calculated volume: 197.88 Å³ per cell
Mass density: 3.4 g/cm3
SG: Pm-3m (221)
Total moment: 4.1 μB per cell

Lattice parameters (Å, degrees): 5.827 5.827 5.827 90.00 90.00 90.00
Last column: magnetic moment on the atom in μB.
Atoms (fractional coordinates):
Ca  0.000  0.000  0.500  0.33
Y  0.000  0.000  0.000  1.29
Pt  0.500  0.500  0.500  0.23
Ca  0.500  0.000  0.000  0.16
Ca  0.000  0.500  0.000  0.24

***

No. 3
A relaxed structure of Mg3Al7Pd2, computed with PBE.

DFT total energy: -3.75 eV/atom
Formation enthalpy at 0 K: -298 meV/atom
Calculated volume: 214.64 Å³ per cell
Mass density: 3.7 g/cm3
SG: R-3m (166)
Total moment: 0.0 μB per cell

Lattice parameters (Å, degrees): 5.400 5.400 9.054 72.65 72.65 60.00
Atoms (fractional coordinates):
Al  0.500  0.500  0.500
Pd  0.334  0.334  0.997
Al  0.417  0.417  0.244
Al  0.923  0.417  0.244
Pd  0.666  0.666  0.003
Al  0.583  0.077  0.756
Al  0.077  0.583  0.756
Mg  0.000  0.000  0.000
Mg  0.857  0.857  0.430
Al  0.583  0.583  0.756
Mg  0.143  0.143  0.570
Al  0.417  0.923  0.244

***

No. 4
A relaxed structure of Ga2Si2Ag, computed with PBE.

DFT total energy: -3.67 eV/atom
Calculated volume: 94.00 Å³ per cell
Mass density: 5.4 g/cm3
Formation energy (no corrections): 279 meV/atom
SG: I4/mmm (139)
Total moment: 0.0 μB per cell

Lattice parameters (Å, degrees): 4.310 4.310 5.907 68.61 68.61 90.00
Atoms (fractional coordinates):
Si  0.386  0.386  0.228
Ga  0.250  0.750  0.500
Ga  0.750  0.250  0.500
Si  0.614  0.614  0.772
Ag  0.000  0.000  0.000

***

No. 5
A relaxed structure of ScBe2In, computed with PBE.

DFT total energy: -4.14 eV/atom
Formation enthalpy at 0 K: -14 meV/atom
Calculated volume: 63.41 Å³ per cell
Mass density: 4.7 g/cm3
SG: Amm2 (38)
Total moment: 0.0 μB per cell

Lattice parameters (Å, degrees): 3.754 3.803 4.832 66.82 90.00 90.00
Atoms (fractional coordinates):
In  0.000  0.482  0.412
Sc  0.500  0.768  0.840
Be  0.500  0.068  0.236
Be  0.000  0.182  0.012

***

No. 6
A relaxed structure of TaV3Mo, computed with PBE.

DFT total energy: -9.94 eV/atom
Formation enthalpy at 0 K: 72 meV/atom
Calculated volume: 153.45 Å³ per cell
Mass density: 9.3 g/cm3
SG: P-1 (2)
Total moment: 0.0 μB per cell

Lattice parameters (Å, degrees): 5.077 6.793 5.137 117.51 91.12 100.42
Atoms (fractional coordinates):
V  0.383  0.405  0.217
V  0.833  0.329  0.953
Mo  0.500  0.000  0.000
Mo  0.000  0.000  0.000
Ta  0.709  0.850  0.409
V  0.617  0.595  0.783
V  0.147  0.690  0.538
V  0.167  0.671  0.047
Ta  0.291  0.150  0.591
V  0.853  0.310  0.462

***

No. 7
A relaxed structure of HPtSCl2, computed with PBE.

DFT total energy: -2.90 eV/atom
Calculated volume: 114.15 Å³ per cell
Mass density: 4.4 g/cm3
SG: P4/mmm (123)
Total moment: 0.5 μB per cell

Lattice parameters (Å, degrees): 5.059 5.059 4.461 90.00 90.00 90.00
Last column: magnetic moment on the atom in μB.
Atoms (fractional coordinates):
H  0.500  0.500  0.500  0.36
S  0.000  0.000  0.500  -0.20
Pt  0.000  0.000  0.000  -0.12
Cl  0.500  0.000  0.000  0.00
Cl  0.000  0.500  0.000  0.00

***

No. 8
A relaxed structure of KLi2Tc, computed with PBE.

DFT total energy: -3.02 eV/atom
Formation enthalpy at 0 K: 802 meV/atom
Calculated volume: 78.25 Å³ per cell
Mass density: 3.2 g/cm3
SG: P2/m (10)
Total moment: 0.9 μB per cell

Lattice parameters (Å, degrees): 2.636 6.451 5.684 54.04 90.00 90.00
Last column: magnetic moment on the atom in μB.
Atoms (fractional coordinates):
Li  0.000  0.000  0.000  -0.01
Tc  0.500  0.500  0.500  0.86
K  0.000  0.000  0.500  0.00
Li  0.500  0.500  0.000  -0.01

***

No. 9
A relaxed structure of Al2FeTc, computed with PBE.

DFT total energy: -6.80 eV/atom
Formation enthalpy at 0 K: -223 meV/atom
Calculated volume: 55.17 Å³ per cell
Mass density: 6.3 g/cm3
SG: I-4m2 (119)
Total moment: 2.7 μB per cell

Lattice parameters (Å, degrees): 4.841 4.841 4.841 135.37 135.37 64.95
Last column: magnetic moment on the atom in μB.
Atoms (fractional coordinates):
Fe  0.500  0.500  0.000  2.42
Al  0.250  0.750  0.500  -0.02
Al  0.000  0.000  0.000  -0.01
Tc  0.750  0.250  0.500  0.25

***

No. 10
A relaxed structure of Ce2NbCuN5, computed with PBE.

DFT total energy: -8.31 eV/atom
Calculated volume: 223.03 Å³ per cell
Mass density: 7.5 g/cm3
Formation energy (no corrections): -792 meV/atom
SG: Cmc2_1 (36)
Total moment: 0.0 μB per cell

Lattice parameters (Å, degrees): 3.290 6.812 10.256 90.00 90.00 103.97
Atoms (fractional coordinates):
Nb  0.800  0.600  0.508
N  0.687  0.374  0.871
N  0.509  0.017  0.275
Ce  0.135  0.271  0.303
Ce  0.892  0.785  0.182
Ce  0.108  0.215  0.682
N  0.360  0.720  0.000
N  0.640  0.280  0.500
Cu  0.478  0.955  0.463
N  0.054  0.107  0.070
Cu  0.522  0.045  0.963
N  0.313  0.626  0.371
N  0.717  0.434  0.151
N  0.946  0.893  0.570
Ce  0.865  0.729  0.803
N  0.491  0.983  0.775
N  0.283  0.566  0.651
Nb  0.200  0.400  0.008

***

No. 11
A relaxed structure of Ir2Au, computed with PBE.

DFT total energy: -5.64 eV/atom
Formation enthalpy at 0 K: 1363 meV/atom
Calculated volume: 236.77 Å³ per cell
Mass density: 16.3 g/cm3
SG: Pa-3 (205)
Total moment: 0.0 μB per cell

Lattice parameters (Å, degrees): 6.186 6.186 6.186 90.00 90.00 90.00
Atoms (fractional coordinates):
Ir  0.391  0.391  0.391
Ir  0.891  0.391  0.109
Au  0.000  0.500  0.500
Ir  0.609  0.891  0.109
Ir  0.391  0.109  0.891
Ir  0.891  0.109  0.609
Au  0.500  0.000  0.500
Au  0.500  0.500  0.000
Ir  0.109  0.609  0.891
Ir  0.609  0.609  0.609
Au  0.000  0.000  0.000
Ir  0.109  0.891  0.391

***

No. 12
A relaxed structure of LaOs2Ru, computed with PBE.

DFT total energy: -8.40 eV/atom
Formation enthalpy at 0 K: 763 meV/atom
Calculated volume: 68.24 Å³ per cell
Mass density: 15.1 g/cm3
SG: Cmm2 (35)
Total moment: 0.2 μB per cell

Lattice parameters (Å, degrees): 2.835 2.835 9.556 90.00 90.00 117.33
Last column: magnetic moment on the atom in μB.
Atoms (fractional coordinates):
La  0.500  0.500  0.747  0.00
Os  0.000  0.000  0.023  0.02
Ru  0.000  0.000  0.478  0.04
Os  0.500  0.500  0.251  0.18

***

No. 13
A relaxed structure of ScAs2Rh4, computed with PBE.

DFT total energy: -7.11 eV/atom
Formation enthalpy at 0 K: -675 meV/atom
Calculated volume: 437.00 Å³ per cell
Mass density: 9.2 g/cm3
SG: Pnma (62)
Total moment: 0.0 μB per cell

Lattice parameters (Å, degrees): 4.164 5.844 17.957 90.00 90.00 90.00
Atoms (fractional coordinates):
Rh  0.750  0.144  0.819
As  0.250  0.770  0.044
Rh  0.750  0.356  0.319
Rh  0.750  0.840  0.297
Sc  0.250  0.456  0.875
Rh  0.250  0.340  0.203
As  0.250  0.620  0.298
Rh  0.750  0.484  0.574
Rh  0.250  0.516  0.426
Rh  0.250  0.984  0.926
Rh  0.250  0.644  0.681
Rh  0.250  0.856  0.181
As  0.250  0.730  0.544
As  0.250  0.880  0.798
Sc  0.750  0.544  0.125
As  0.750  0.120  0.202
As  0.750  0.270  0.456
Rh  0.250  0.146  0.535
Rh  0.750  0.854  0.465
Rh  0.750  0.660  0.797
Rh  0.250  0.160  0.703
Rh  0.750  0.646  0.965
As  0.750  0.380  0.702
As  0.750  0.230  0.956
Sc  0.750  0.956  0.625
Rh  0.750  0.016  0.074
Sc  0.250  0.044  0.375
Rh  0.250  0.354  0.035

***

No. 14
A relaxed structure of TaBH3, computed with PBE.

DFT total energy: -5.08 eV/atom
Calculated volume: 30.55 Å³ per cell
Mass density: 10.6 g/cm3
SG: Pm-3m (221)
Total moment: 0.0 μB per cell

Lattice parameters (Å, degrees): 3.126 3.126 3.126 90.00 90.00 90.00
Atoms (fractional coordinates):
H  0.500  0.000  0.000
B  0.000  0.000  0.000
H  0.000  0.500  0.000
Ta  0.500  0.500  0.500
H  0.000  0.000  0.500

***

No. 15
A relaxed structure of KAs2W, computed with PBE.

DFT total energy: -5.74 eV/atom
Formation enthalpy at 0 K: 102 meV/atom
Calculated volume: 284.40 Å³ per cell
Mass density: 4.4 g/cm3
SG: I-42d (122)
Total moment: 0.0 μB per cell

Lattice parameters (Å, degrees): 6.960 6.960 7.661 62.98 62.98 90.00
Atoms (fractional coordinates):
W  0.750  0.250  0.500
As  0.875  0.027  0.750
K  0.500  0.500  0.000
As  0.375  0.223  0.750
As  0.777  0.125  0.250
As  0.973  0.625  0.250
W  0.000  0.000  0.000
K  0.250  0.750  0.500

***

No. 16
A relaxed structure of Na3LiF4, computed with PBE.

DFT total energy: -4.42 eV/atom
Calculated volume: 94.54 Å³ per cell
Mass density: 2.7 g/cm3
Formation energy (no corrections): -2749 meV/atom
SG: Cmmm (65)
Total moment: 0.0 μB per cell

Lattice parameters (Å, degrees): 3.216 5.580 5.580 109.27 90.00 90.00
Atoms (fractional coordinates):
F  0.000  0.766  0.766
F  0.500  0.240  0.760
Na  0.000  0.500  0.000
F  0.500  0.760  0.240
Na  0.000  0.000  0.500
Li  0.500  0.000  0.000
F  0.000  0.234  0.234
Na  0.500  0.500  0.500

***

No. 17
A relaxed structure of InCuHg2, computed with PBE.

DFT total energy: -1.71 eV/atom
Formation enthalpy at 0 K: 151 meV/atom
Calculated volume: 95.90 Å³ per cell
Mass density: 10.0 g/cm3
SG: Cm (8)
Total moment: 0.0 μB per cell

Lattice parameters (Å, degrees): 4.289 4.289 6.521 73.54 73.54 57.64
Atoms (fractional coordinates):
In  0.520  0.520  0.448
Cu  0.251  0.251  0.244
Hg  0.748  0.748  0.755
Hg  0.981  0.981  0.052

***

No. 18
A relaxed structure of HfVRe, computed with PBE.

DFT total energy: -10.63 eV/atom
Formation enthalpy at 0 K: -125 meV/atom
Calculated volume: 49.29 Å³ per cell
Mass density: 14.0 g/cm3
SG: P3m1 (156)
Total moment: 0.0 μB per cell

Lattice parameters (Å, degrees): 2.942 4.398 4.398 120.00 90.00 90.00
Atoms (fractional coordinates):
Hf  0.342  0.667  0.333
Re  0.693  0.333  0.667
V  0.965  0.000  0.000

***

No. 19
A relaxed structure of Ac2LaPmSe6, computed with PBE.

DFT total energy: -5.83 eV/atom
Calculated volume: 346.46 Å³ per cell
Mass density: 5.8 g/cm3
Formation energy (no corrections): -1947 meV/atom
SG: R3 (146)
Total moment: 0.0 μB per cell

Lattice parameters (Å, degrees): 7.730 7.730 8.046 61.29 61.29 60.00
Atoms (fractional coordinates):
Ac  0.523  0.523  0.431
Se  0.195  0.934  0.259
Se  0.442  0.697  0.757
Se  0.105  0.442  0.757
La  0.314  0.314  0.057
Se  0.613  0.195  0.259
Ac  0.024  0.024  0.928
Se  0.697  0.105  0.757
Se  0.934  0.613  0.259
Pm  0.816  0.816  0.553

***

No. 20
A relaxed structure of NdMnSi3, computed with PBE.

DFT total energy: -6.19 eV/atom
Calculated volume: 183.80 Å³ per cell
Mass density: 5.1 g/cm3
Formation energy (no corrections): -150 meV/atom
SG: Cmmm (65)
Total moment: 2.6 μB per cell

Lattice parameters (Å, degrees): 4.403 5.639 7.402 90.00 90.00 90.00
Last column: magnetic moment on the atom in μB.
Atoms (fractional coordinates):
Si  0.000  0.250  0.250  -0.01
Si  0.500  0.500  0.000  -0.03
Mn  0.000  0.500  0.000  1.20
Nd  0.500  0.500  0.500  0.07
Si  0.000  0.750  0.250  -0.01
Si  0.000  0.750  0.750  -0.01
Nd  0.500  0.000  0.000  0.07
Si  0.500  0.000  0.500  -0.03
Mn  0.000  0.000  0.500  1.20
Si  0.000  0.250  0.750  -0.01